P:
Below is a crystal of Ga2SnBi relaxed with PBEsol, with properties calculated at the meta-GGA SCAN level.

CIF file:
```
data_Ga2SnBi
_chemical_formula_sum 'Ga8 Sn4 Bi4'
_cell_length_a 6.228
_cell_length_b 6.228
_cell_length_c 12.398
_cell_angle_alpha 90.00
_cell_angle_beta 90.00
_cell_angle_gamma 90.00
_symmetry_space_group_name_H-M 'I -4 2 d'
_symmetry_Int_Tables_number 122
_symmetry_space_group_name_Hall 'I -4 2bw'
loop_
_atom_site_label
_atom_site_type_symbol
_atom_site_fract_x
_atom_site_fract_y
_atom_site_fract_z
_atom_site_occupancy
Ga1 Ga 0.236 0.250 0.125 1
Sn1 Sn 0.000 0.000 0.000 1
Bi1 Bi 0.000 0.000 0.500 1
```

---

Q:
Below is a crystal of Ga2SnBi relaxed with PBEsol, with properties calculated at the meta-GGA SCAN level.

CIF file:
```
data_Ga2SnBi
_chemical_formula_sum 'Ga8 Sn4 Bi4'
_cell_length_a 7.195
_cell_length_b 7.195
_cell_length_c 7.195
_cell_angle_alpha 90.00
_cell_angle_beta 90.00
_cell_angle_gamma 90.00
_symmetry_space_group_name_H-M 'F m -3 m'
_symmetry_Int_Tables_number 225
_symmetry_space_group_name_Hall '-F 4 2 3'
loop_
_atom_site_label
_atom_site_type_symbol
_atom_site_fract_x
_atom_site_fract_y
_atom_site_fract_z
_atom_site_occupancy
Ga1 Ga 0.250 0.250 0.250 1
Sn1 Sn 0.000 0.000 0.000 1
Bi1 Bi 0.000 0.000 0.500 1
```

---

It turns out P is the most stable, with the second structure 165 meV/atom higher.

---

P:
Below is a crystal of Hf3GeBi relaxed with PBEsol, with properties calculated at the meta-GGA SCAN level.

CIF file:
```
data_Hf3GeBi
_chemical_formula_sum 'Hf3 Ge1 Bi1'
_cell_length_a 5.268
_cell_length_b 5.268
_cell_length_c 5.268
_cell_angle_alpha 90.00
_cell_angle_beta 90.00
_cell_angle_gamma 90.00
_symmetry_space_group_name_H-M 'P m -3 m'
_symmetry_Int_Tables_number 221
_symmetry_space_group_name_Hall '-P 4 2 3'
loop_
_atom_site_label
_atom_site_type_symbol
_atom_site_fract_x
_atom_site_fract_y
_atom_site_fract_z
_atom_site_occupancy
Hf1 Hf 0.000 0.000 0.500 1
Ge1 Ge 0.500 0.500 0.500 1
Bi1 Bi 0.000 0.000 0.000 1
```

---

Q:
Below is a crystal of Hf3GeBi relaxed with PBEsol, with properties calculated at the meta-GGA SCAN level.

CIF file:
```
data_Hf3GeBi
_chemical_formula_sum 'Hf3 Ge1 Bi1'
_cell_length_a 4.946
_cell_length_b 4.946
_cell_length_c 4.946
_cell_angle_alpha 90.00
_cell_angle_beta 90.00
_cell_angle_gamma 90.00
_symmetry_space_group_name_H-M 'P m -3 m'
_symmetry_Int_Tables_number 221
_symmetry_space_group_name_Hall '-P 4 2 3'
loop_
_atom_site_label
_atom_site_type_symbol
_atom_site_fract_x
_atom_site_fract_y
_atom_site_fract_z
_atom_site_occupancy
Hf1 Hf 0.000 0.000 0.500 1
Ge1 Ge 0.000 0.000 0.000 1
Bi1 Bi 0.500 0.500 0.500 1
```

---

It turns out Q is the most stable, with the second structure 1183 meV/atom higher.

---

P:
Below is a crystal of In3GeBi relaxed with PBEsol, with properties calculated at the meta-GGA SCAN level.

CIF file:
```
data_In3GeBi
_chemical_formula_sum 'In3 Ge1 Bi1'
_cell_length_a 5.761
_cell_length_b 5.761
_cell_length_c 5.761
_cell_angle_alpha 90.00
_cell_angle_beta 90.00
_cell_angle_gamma 90.00
_symmetry_space_group_name_H-M 'P m -3 m'
_symmetry_Int_Tables_number 221
_symmetry_space_group_name_Hall '-P 4 2 3'
loop_
_atom_site_label
_atom_site_type_symbol
_atom_site_fract_x
_atom_site_fract_y
_atom_site_fract_z
_atom_site_occupancy
In1 In 0.000 0.000 0.500 1
Ge1 Ge 0.500 0.500 0.500 1
Bi1 Bi 0.000 0.000 0.000 1
```

---

Q:
Below is a crystal of In3GeBi relaxed with PBEsol, with properties calculated at the meta-GGA SCAN level.

CIF file:
```
data_In3GeBi
_chemical_formula_sum 'In3 Ge1 Bi1'
_cell_length_a 5.245
_cell_length_b 5.245
_cell_length_c 5.245
_cell_angle_alpha 90.00
_cell_angle_beta 90.00
_cell_angle_gamma 90.00
_symmetry_space_group_name_H-M 'P m -3 m'
_symmetry_Int_Tables_number 221
_symmetry_space_group_name_Hall '-P 4 2 3'
loop_
_atom_site_label
_atom_site_type_symbol
_atom_site_fract_x
_atom_site_fract_y
_atom_site_fract_z
_atom_site_occupancy
In1 In 0.000 0.000 0.500 1
Ge1 Ge 0.000 0.000 0.000 1
Bi1 Bi 0.500 0.500 0.500 1
```

---

It turns out Q is the most stable, with the second structure 615 meV/atom higher.

---

P:
Below is a crystal of MgGeBi3 relaxed with PBEsol, with properties calculated at the meta-GGA SCAN level.

CIF file:
```
data_MgGeBi3
_chemical_formula_sum 'Mg1 Ge1 Bi3'
_cell_length_a 5.401
_cell_length_b 5.401
_cell_length_c 5.401
_cell_angle_alpha 90.00
_cell_angle_beta 90.00
_cell_angle_gamma 90.00
_symmetry_space_group_name_H-M 'P m -3 m'
_symmetry_Int_Tables_number 221
_symmetry_space_group_name_Hall '-P 4 2 3'
loop_
_atom_site_label
_atom_site_type_symbol
_atom_site_fract_x
_atom_site_fract_y
_atom_site_fract_z
_atom_site_occupancy
Mg1 Mg 0.000 0.000 0.000 1
Ge1 Ge 0.500 0.500 0.500 1
Bi1 Bi 0.000 0.000 0.500 1
```

---

Q:
Below is a crystal of MgGeBi3 relaxed with PBEsol, with properties calculated at the meta-GGA SCAN level.

CIF file:
```
data_MgGeBi3
_chemical_formula_sum 'Mg1 Ge1 Bi3'
_cell_length_a 5.476
_cell_length_b 5.476
_cell_length_c 5.476
_cell_angle_alpha 90.00
_cell_angle_beta 90.00
_cell_angle_gamma 90.00
_symmetry_space_group_name_H-M 'P m -3 m'
_symmetry_Int_Tables_number 221
_symmetry_space_group_name_Hall '-P 4 2 3'
loop_
_atom_site_label
_atom_site_type_symbol
_atom_site_fract_x
_atom_site_fract_y
_atom_site_fract_z
_atom_site_occupancy
Mg1 Mg 0.000 0.000 0.000 1
Ge1 Ge 0.500 0.500 0.500 1
Bi1 Bi 0.000 0.500 0.500 1
```

---

It turns out Q is the most stable, with the second structure 142 meV/atom higher.